1.
The following is a PBE calculation of a relaxed structure of LiCOF2, from Alexandria via LeMat-Bulk.

Summary:
Formation energy without anion corrections: 0.501 eV per atom

Cell and atoms, written as CIF:
```
data_LiCOF2
_chemical_formula_sum 'Li1 C1 O1 F2'
_symmetry_space_group_name_H-M 'P 4/m m m'
_symmetry_Int_Tables_number 123
_symmetry_space_group_name_Hall '-P 4 2'
_cell_length_a 3.488
_cell_length_b 3.488
_cell_length_c 4.038
_cell_angle_alpha 90.00
_cell_angle_beta 90.00
_cell_angle_gamma 90.00
loop_
_atom_site_label
_atom_site_fract_x
_atom_site_fract_y
_atom_site_fract_z
Li1 0.000 0.000 0.000
C1 0.500 0.500 0.500
O1 0.000 0.000 0.500
F1 0.000 0.500 0.000
```



2.
The following is a PBE calculation of a relaxed structure of LiCO2F, from Alexandria via LeMat-Bulk.

Summary:
Formation energy without anion corrections: -0.380 eV per atom

Cell and atoms, written as CIF:
```
data_LiCO2F
_chemical_formula_sum 'Li1 C1 O2 F1'
_symmetry_space_group_name_H-M 'P 4/m m m'
_symmetry_Int_Tables_number 123
_symmetry_space_group_name_Hall '-P 4 2'
_cell_length_a 2.994
_cell_length_b 2.994
_cell_length_c 5.789
_cell_angle_alpha 90.00
_cell_angle_beta 90.00
_cell_angle_gamma 90.00
loop_
_atom_site_label
_atom_site_fract_x
_atom_site_fract_y
_atom_site_fract_z
Li1 0.000 0.000 0.000
C1 0.500 0.500 0.500
O1 0.000 0.500 0.500
F1 0.500 0.500 0.000
```



3.
The following is a PBE calculation of a relaxed structure of LiCOF2, from Alexandria via LeMat-Bulk.

Summary:
Formation energy without anion corrections: -0.586 eV per atom

Cell and atoms, written as CIF:
```
data_LiCOF2
_chemical_formula_sum 'Li1 C1 O1 F2'
_symmetry_space_group_name_H-M 'P 4/m m m'
_symmetry_Int_Tables_number 123
_symmetry_space_group_name_Hall '-P 4 2'
_cell_length_a 4.081
_cell_length_b 4.081
_cell_length_c 2.840
_cell_angle_alpha 90.00
_cell_angle_beta 90.00
_cell_angle_gamma 90.00
loop_
_atom_site_label
_atom_site_fract_x
_atom_site_fract_y
_atom_site_fract_z
Li1 0.000 0.000 0.000
C1 0.500 0.500 0.500
O1 0.500 0.500 0.000
F1 0.000 0.500 0.500
```



4.
The following is a PBE calculation of a relaxed structure of LiCO2F, from Alexandria via LeMat-Bulk.

Summary:
Formation energy without anion corrections: 1.082 eV per atom

Cell and atoms, written as CIF:
```
data_LiCO2F
_chemical_formula_sum 'Li1 C1 O2 F1'
_symmetry_space_group_name_H-M 'P 4/m m m'
_symmetry_Int_Tables_number 123
_symmetry_space_group_name_Hall '-P 4 2'
_cell_length_a 3.773
_cell_length_b 3.773
_cell_length_c 3.498
_cell_angle_alpha 90.00
_cell_angle_beta 90.00
_cell_angle_gamma 90.00
loop_
_atom_site_label
_atom_site_fract_x
_atom_site_fract_y
_atom_site_fract_z
Li1 0.000 0.000 0.000
C1 0.500 0.500 0.500
O1 0.000 0.500 0.000
F1 0.000 0.000 0.500
```



5.
The following is a PBE calculation of a relaxed structure of LiTl6C2O6F2, from Alexandria via LeMat-Bulk.

Summary:
Formation energy without anion corrections: -1.293 eV per atom

Cell and atoms, written as CIF:
```
data_LiTl6C2O6F2
_chemical_formula_sum 'Li1 Tl6 C2 O6 F2'
_symmetry_space_group_name_H-M 'P 1'
_symmetry_Int_Tables_number 1
_symmetry_space_group_name_Hall 'P 1'
_cell_length_a 5.901
_cell_length_b 7.497
_cell_length_c 8.728
_cell_angle_alpha 69.38
_cell_angle_beta 89.44
_cell_angle_gamma 88.66
loop_
_atom_site_label
_atom_site_fract_x
_atom_site_fract_y
_atom_site_fract_z
Li1 0.000 0.000 0.000
Tl1 0.323 0.999 0.470
Tl2 0.435 0.616 0.116
Tl3 0.443 0.224 0.822
Tl4 0.803 0.802 0.368
Tl5 0.880 0.322 0.425
Tl6 0.929 0.671 0.810
C1 0.032 0.272 0.075
C2 0.306 0.571 0.507
O1 0.018 0.293 0.919
O2 0.086 0.105 0.178
O3 0.290 0.711 0.364
O4 0.295 0.395 0.514
O5 0.333 0.612 0.638
O6 0.992 0.418 0.120
F1 0.205 0.883 0.903
F2 0.728 0.883 0.068
```



6.
The following is a PBE calculation of a relaxed structure of LiTl6C2O6F2, from Alexandria via LeMat-Bulk.

Summary:
Formation energy without anion corrections: -1.268 eV per atom

Cell and atoms, written as CIF:
```
data_LiTl6C2O6F2
_chemical_formula_sum 'Li1 Tl6 C2 O6 F2'
_symmetry_space_group_name_H-M 'P 1'
_symmetry_Int_Tables_number 1
_symmetry_space_group_name_Hall 'P 1'
_cell_length_a 6.604
_cell_length_b 7.584
_cell_length_c 8.166
_cell_angle_alpha 64.21
_cell_angle_beta 79.39
_cell_angle_gamma 85.61
loop_
_atom_site_label
_atom_site_fract_x
_atom_site_fract_y
_atom_site_fract_z
Li1 0.000 0.000 0.000
Tl1 0.170 0.403 0.488
Tl2 0.267 0.951 0.358
Tl3 0.323 0.644 0.994
Tl4 0.661 0.052 0.711
Tl5 0.709 0.600 0.627
Tl6 0.767 0.317 0.180
C1 0.262 0.317 0.886
C2 0.813 0.728 0.199
O1 0.206 0.181 0.847
O2 0.275 0.281 0.055
O3 0.301 0.493 0.756
O4 0.695 0.579 0.310
O5 0.849 0.861 0.251
O6 0.899 0.748 0.034
F1 0.459 0.172 0.444
F2 0.967 0.131 0.451
```



7.
The following is a PBE calculation of a relaxed structure of LiReCF2, from Alexandria via LeMat-Bulk.

Summary:
Formation energy without anion corrections: 0.475 eV per atom

Cell and atoms, written as CIF:
```
data_LiReCF2
_chemical_formula_sum 'Li1 Re1 C1 F2'
_symmetry_space_group_name_H-M 'P 4/m m m'
_symmetry_Int_Tables_number 123
_symmetry_space_group_name_Hall '-P 4 2'
_cell_length_a 4.718
_cell_length_b 4.718
_cell_length_c 3.863
_cell_angle_alpha 90.00
_cell_angle_beta 90.00
_cell_angle_gamma 90.00
loop_
_atom_site_label
_atom_site_fract_x
_atom_site_fract_y
_atom_site_fract_z
Li1 0.000 0.000 0.000
Re1 0.500 0.500 0.000
C1 0.500 0.500 0.500
F1 0.000 0.500 0.500
```



8.
The following is a PBE calculation of a relaxed structure of LiCS2F, from Alexandria via LeMat-Bulk.

Summary:
Formation energy without anion corrections: 0.263 eV per atom

Cell and atoms, written as CIF:
```
data_LiCS2F
_chemical_formula_sum 'Li1 C1 S2 F1'
_symmetry_space_group_name_H-M 'P 4/m m m'
_symmetry_Int_Tables_number 123
_symmetry_space_group_name_Hall '-P 4 2'
_cell_length_a 3.843
_cell_length_b 3.843
_cell_length_c 5.193
_cell_angle_alpha 90.00
_cell_angle_beta 90.00
_cell_angle_gamma 90.00
loop_
_atom_site_label
_atom_site_fract_x
_atom_site_fract_y
_atom_site_fract_z
Li1 0.000 0.000 0.000
C1 0.500 0.500 0.500
S1 0.000 0.500 0.500
F1 0.500 0.500 0.000
```



Number 1: N(E_F) 2.1 states/eV/cell, magnetic moment 1.00 μB/f.u.. Number 2: N(E_F) 1.1 states/eV/cell, magnetic moment 0.13 μB/f.u.. Number 3: N(E_F) 0.9 states/eV/cell, magnetic moment 0.00 μB/f.u.. Number 4: N(E_F) 4.1 states/eV/cell, magnetic moment 2.00 μB/f.u.. Number 5: N(E_F) 1.0 states/eV/cell, magnetic moment 0.00 μB/f.u.. Number 6: N(E_F) 2.2 states/eV/cell, magnetic moment 0.00 μB/f.u.. Number 7: N(E_F) 2.3 states/eV/cell, magnetic moment 3.60 μB/f.u.. Number 8: N(E_F) 1.9 states/eV/cell, magnetic moment 0.00 μB/f.u..